No. 1
Entry from Alexandria: a relaxed PaFe5P3 crystal (PBE).

The structure in CIF format:
```
data_PaFe5P3
_chemical_formula_sum 'Pa4 Fe20 P12'
_cell_length_a 3.624
_cell_length_b 11.519
_cell_length_c 11.113
_cell_angle_alpha 90.00
_cell_angle_beta 90.00
_cell_angle_gamma 90.00
_symmetry_space_group_name_H-M 'C m c m'
_symmetry_Int_Tables_number 63
_symmetry_space_group_name_Hall '-C 2c 2'
loop_
_atom_site_label
_atom_site_type_symbol
_atom_site_fract_x
_atom_site_fract_y
_atom_site_fract_z
_atom_site_occupancy
Pa1 Pa 0.000 0.169 0.250 1
Fe1 Fe 0.000 0.000 0.000 1
Fe2 Fe 0.000 0.197 0.571 1
Fe3 Fe 0.000 0.451 0.145 1
P1 P 0.000 0.112 0.750 1
P2 P 0.000 0.378 0.542 1
```

## Properties
- M_tot (μB/cell) = 14.17
- DOS(E_F) (states/eV per cell) = 31.36
- crystal system = orthorhombic
- calculated formation energy (eV/atom) = -0.65
- energy (eV/atom) = -8.21

=====

No. 2
Entry from Alexandria: a relaxed NdErAgAu crystal (PBE).

The structure in CIF format:
```
data_NdErAgAu
_chemical_formula_sum 'Nd1 Er1 Ag1 Au1'
_cell_length_a 3.617
_cell_length_b 3.617
_cell_length_c 7.476
_cell_angle_alpha 90.00
_cell_angle_beta 90.00
_cell_angle_gamma 90.00
_symmetry_space_group_name_H-M 'P 4 m m'
_symmetry_Int_Tables_number 99
_symmetry_space_group_name_Hall 'P 4 -2'
loop_
_atom_site_label
_atom_site_type_symbol
_atom_site_fract_x
_atom_site_fract_y
_atom_site_fract_z
_atom_site_occupancy
Nd1 Nd 0.000 0.000 0.000 1
Er1 Er 0.000 0.000 0.488 1
Ag1 Ag 0.500 0.500 0.722 1
Au1 Au 0.500 0.500 0.271 1
```

## Properties
- M_tot (μB/cell) = 0.00
- DOS(E_F) (states/eV per cell) = 1.80
- crystal system = tetragonal
- energy relative to the lowest polymorph listed for this composition (eV per atom) = 0.000
- calculated formation energy (eV/atom) = -0.57
- energy (eV/atom) = -4.44

=====

No. 3
Entry from Alexandria: a relaxed PrCrP2 crystal (PBE).

The structure in CIF format:
```
data_PrCrP2
_chemical_formula_sum 'Pr2 Cr2 P4'
_cell_length_a 3.962
_cell_length_b 3.962
_cell_length_c 10.161
_cell_angle_alpha 90.00
_cell_angle_beta 90.00
_cell_angle_gamma 90.00
_symmetry_space_group_name_H-M 'I -4 m 2'
_symmetry_Int_Tables_number 119
_symmetry_space_group_name_Hall 'I -4 -2'
loop_
_atom_site_label
_atom_site_type_symbol
_atom_site_fract_x
_atom_site_fract_y
_atom_site_fract_z
_atom_site_occupancy
Pr1 Pr 0.000 0.000 0.000 1
Cr1 Cr 0.000 0.500 0.750 1
P1 P 0.000 0.000 0.372 1
```

## Properties
- M_tot (μB/cell) = 5.73
- DOS(E_F) (states/eV per cell) = 3.09
- crystal system = tetragonal
- calculated formation energy (eV/atom) = -0.68
- energy (eV/atom) = -6.98

=====

No. 4
Entry from Alexandria: a relaxed RbSr2InBr8 crystal (PBE).

The structure in CIF format:
```
data_RbSr2InBr8
_chemical_formula_sum 'Rb1 Sr2 In1 Br8'
_cell_length_a 6.861
_cell_length_b 7.089
_cell_length_c 9.485
_cell_angle_alpha 89.98
_cell_angle_beta 89.96
_cell_angle_gamma 89.60
_symmetry_space_group_name_H-M 'P -1'
_symmetry_Int_Tables_number 2
_symmetry_space_group_name_Hall '-P 1'
loop_
_atom_site_label
_atom_site_type_symbol
_atom_site_fract_x
_atom_site_fract_y
_atom_site_fract_z
_atom_site_occupancy
Rb1 Rb 0.000 0.000 0.000 1
Sr1 Sr 0.500 0.500 0.256 1
In1 In 0.000 0.000 0.500 1
Br1 Br 0.231 0.853 0.703 1
Br2 Br 0.232 0.854 0.297 1
Br3 Br 0.241 0.327 0.500 1
Br4 Br 0.264 0.386 0.000 1
```

## Properties
- M_tot (μB/cell) = 0.00
- DOS(E_F) (states/eV per cell) = 0.00
- crystal system = triclinic
- energy (eV/atom) = -3.28